1.
Density functional theory data (GGA-PBE) for crystalline Pm3Pr6Y2In at its relaxed geometry.

```
data_Pm3Pr6Y2In
_space_group_name_H-M_alt 'C 1 2/m 1'
_space_group_IT_number 12
_space_group_name_Hall '-C 2y'
_cell_length_a 6.281
_cell_length_b 10.942
_cell_length_c 11.984
_cell_angle_alpha 90.00
_cell_angle_beta 100.42
_cell_angle_gamma 90.00
loop_
_atom_site_label
_atom_site_fract_x
_atom_site_fract_y
_atom_site_fract_z
Pm1 0.000 0.000 0.000
Pm2 0.000 0.331 0.000
Pr1 0.243 0.337 0.744
Pr2 0.245 0.500 0.253
Y1 0.000 0.166 0.500
In1 0.000 0.500 0.500
```

Energy of formation in eV per atom: -0.034
Crystal system: monoclinic

***

2.
Density functional theory data (GGA-PBE) for crystalline La2SbSe at its relaxed geometry.

```
data_La2SbSe
_space_group_name_H-M_alt 'F m -3 m'
_space_group_IT_number 225
_space_group_name_Hall '-F 4 2 3'
_cell_length_a 7.702
_cell_length_b 7.702
_cell_length_c 7.702
_cell_angle_alpha 90.00
_cell_angle_beta 90.00
_cell_angle_gamma 90.00
loop_
_atom_site_label
_atom_site_fract_x
_atom_site_fract_y
_atom_site_fract_z
La1 0.250 0.250 0.250
Sb1 0.000 0.000 0.000
Se1 0.000 0.000 0.500
```

Crystal system: cubic

***

3.
Density functional theory data (GGA-PBE) for crystalline Tc2HgBr at its relaxed geometry.

```
data_Tc2HgBr
_space_group_name_H-M_alt 'P 1 m 1'
_space_group_IT_number 6
_space_group_name_Hall 'P -2y'
_cell_length_a 3.072
_cell_length_b 3.039
_cell_length_c 8.625
_cell_angle_alpha 90.00
_cell_angle_beta 90.11
_cell_angle_gamma 90.00
loop_
_atom_site_label
_atom_site_fract_x
_atom_site_fract_y
_atom_site_fract_z
Tc1 0.000 0.000 0.000
Tc2 0.499 0.500 0.835
Hg1 0.998 0.000 0.596
Br1 0.002 0.500 0.243
```

Crystal system: monoclinic

***

One value per record, in order, for total DFT energy (no corrections): -4.9166, -5.7521, -5.4326 eV per atom.
One value per record, in order, for density of states at the Fermi level: 16.13, 3.00, 3.19 states/eV/f.u..